(1)
VASP calculation (GGA-PBEsol) on a geometry-optimized Rb2AlGe structure.

Unit cell a=4.5688 b=4.5688 c=12.6900 alpha=100.37 beta=100.37 gamma=90.00
Closest atoms and distances in Å follow each position.
Atoms (fractional coordinates):
Al: 0.7500 0.2500 0.5000  4 Ge 3.23, 4 Rb 3.47
Al: 0.5000 0.5000 0.0000  4 Ge 3.23, 4 Rb 3.47
Rb: 0.3746 0.8750 0.2500  4 Rb 3.23, 2 Ge 3.47, 2 Al 3.47
Rb: 0.1250 0.1246 0.7500  4 Rb 3.23, 2 Ge 3.47, 2 Al 3.47
Rb: 0.6250 0.6254 0.7500  4 Rb 3.23, 2 Ge 3.47, 2 Al 3.47
Rb: 0.8754 0.3750 0.2500  4 Rb 3.23, 2 Ge 3.47, 2 Al 3.47
Ge: 0.2500 0.7500 0.5000  4 Al 3.23, 4 Rb 3.47
Ge: 0.0000 0.0000 0.0000  4 Al 3.23, 4 Rb 3.47

Output
For the total magnetization, the calculation gives 0.00 μB per atom. As for the symmetry: I-42d. Its energy relative to the elements is 0.648 eV per atom. The theoretical density comes out at 3.5 g/cm3.

=====

(2)
VASP calculation (GGA-PBEsol) on a geometry-optimized Rb3AlGe structure.

Unit cell a=6.6688 b=6.6688 c=6.6688 alpha=90.00 beta=90.00 gamma=90.00
Closest atoms and distances in Å follow each position.
Atoms (fractional coordinates):
Rb: 0.5000 0.0000 0.0000  2 Ge 3.33
Rb: 0.0000 0.5000 0.0000  2 Ge 3.33
Rb: 0.0000 0.0000 0.5000  2 Ge 3.33
Al: 0.5000 0.5000 0.5000  12 Rb 4.72
Ge: 0.0000 0.0000 0.0000  6 Rb 3.33

Output
For the total magnetization, the calculation gives 0.01 μB per atom. As for the symmetry: Pm-3m. Its energy relative to the elements is 0.655 eV per atom. The theoretical density comes out at 2.0 g/cm3.